The following is a DFT calculation (PBE-GGA) of Zr2ZnFeSi after structural relaxation.

The structure in POSCAR format:
```
Zr2ZnFeSi
1.0
-2.8241 1.3478 3.8543
1.8864 -2.8714 2.3863
3.4146 3.3492 1.3308
Zn Zr Fe Si
1 2 1 1
Direct
0.5000 0.5000 0.5000
0.5000 0.0000 0.0000
0.0000 0.0000 0.5000
0.0000 0.5000 0.0000
0.0000 0.0000 0.0000
```

Properties
Mass density   5.3 g cm⁻³
Calculated total energy   -0.2278 hartree per atom